A geometry-optimized Ba4CuP structure. Source: Alexandria, functional GGA-PBE.

Cell and atoms, written as CIF:
```
data_Ba4CuP
_cell_length_a 9.886
_cell_length_b 9.886
_cell_length_c 9.886
_cell_angle_alpha 90.00
_cell_angle_beta 90.00
_cell_angle_gamma 90.00
_space_group_name_H-M_alt 'F -4 3 m'
_space_group_IT_number 216
_space_group_name_Hall 'F -4 2 3'
loop_
_atom_site_label
_atom_site_fract_x
_atom_site_fract_y
_atom_site_fract_z
Ba1 0.124 0.124 0.376
Cu1 0.000 0.000 0.000
P1 0.250 0.250 0.750
```



A geometry-optimized Ac6HgPb3 structure. Source: Alexandria, functional GGA-PBE.

Cell and atoms, written as CIF:
```
data_Ac6HgPb3
_cell_length_a 12.038
_cell_length_b 16.390
_cell_length_c 8.069
_cell_angle_alpha 90.00
_cell_angle_beta 90.00
_cell_angle_gamma 90.00
_space_group_name_H-M_alt 'C m c 21'
_space_group_IT_number 36
_space_group_name_Hall 'C 2c -2'
loop_
_atom_site_label
_atom_site_fract_x
_atom_site_fract_y
_atom_site_fract_z
Ac1 0.000 0.037 0.000
Ac2 0.000 0.296 0.011
Ac3 0.180 0.297 0.543
Ac4 0.222 0.454 0.184
Hg1 0.000 0.158 0.690
Pb1 0.000 0.462 0.464
Pb2 0.142 0.128 0.324
```



Number 1: total DFT energy (no corrections) -2.243 eV per atom. Number 2: total DFT energy (no corrections) -3.921 eV per atom.